Entry 1:
LiLaThAg | the Alexandria database | PBE | optimized geometry; uncorrected energy = -4.19 eV/atom; space-group type = F-43m (216)
1.0
-0.7331 -3.1262 -4.2685
4.1089 -2.7299 -2.0483
0.1988 -5.3128 0.5150
Li Ag Th La
1 1 1 1
Cartesian
0.8936 -2.7922 -1.4505 Li
2.6809 -8.3767 -4.3514 Ag
0.0000 0.0000 0.0000 Th
1.7873 -5.5845 -2.9009 La


Entry 2:
LiLaTlAg2 | the Alexandria database | PBE | optimized geometry; uncorrected energy = -3.08 eV/atom; space-group type = P4/mmm (123)
1.0
-1.5074 -4.3706 -1.5069
1.5351 1.0219 -4.4994
4.4522 -1.9097 1.0852
Tl Li Ag La
1 1 2 1
Cartesian
2.2261 -0.9548 0.5426 Tl
0.0000 0.0000 0.0000 Li
0.7675 0.5110 -2.2497 Ag
-0.7537 -2.1853 -0.7535 Ag
2.2400 -2.6292 -2.4606 La


Entry 3:
LiLaTlAg | the Alexandria database | PBE | optimized geometry; uncorrected energy = -3.31 eV/atom; space-group type = F-43m (216)
1.0
5.0848 0.0000 0.0000
2.5424 4.4036 0.0000
2.5424 1.4679 4.1518
Tl Li Ag La
1 1 1 1
Cartesian
0.0000 0.0000 0.0000 Tl
7.6273 4.4036 3.1138 Li
2.5424 1.4679 1.0379 Ag
5.0848 2.9357 2.0759 La


Entry 4:
LiLaTl2Ag | the Alexandria database | PBE | optimized geometry; uncorrected energy = -3.03 eV/atom; space-group type = P4/mmm (123)
1.0
-1.7569 -0.2518 -4.7461
4.6858 -0.9382 -1.6848
-0.7592 -4.7488 0.5329
Tl Li Ag La
2 1 1 1
Cartesian
2.3429 -0.4691 -0.8424 Tl
-0.8784 -0.1259 -2.3730 Tl
0.0000 0.0000 0.0000 Li
-0.3796 -2.3744 0.2665 Ag
1.0848 -2.9694 -2.9490 La


Entry 5:
Li2LaTl2Ag2 | the Alexandria database | PBE | optimized geometry; uncorrected energy = -2.95 eV/atom; space-group type = R-3m (166)
1.0
4.8430 0.0000 0.0000
2.4215 4.1942 0.0000
2.4215 1.3981 7.8782
Li La Tl Ag
2 1 2 2
Cartesian
2.4215 1.3981 4.5087 Li
7.2645 4.1942 3.3695 Li
0.0000 0.0000 0.0000 La
7.2645 4.1942 6.1656 Tl
2.4215 1.3981 1.7126 Tl
4.8430 2.7961 2.4908 Ag
4.8430 2.7961 5.3874 Ag


Entry 6:
Li2LaZnAg4 | the Alexandria database | PBE | optimized geometry; uncorrected energy = -2.85 eV/atom; space-group type = R-3m (166)
1.0
4.5347 0.0000 0.0000
2.2674 3.9272 0.0000
2.2674 1.3091 8.9969
Li La Zn Ag
2 1 1 4
Cartesian
6.8021 3.9272 6.2748 Li
2.2674 1.3091 2.7221 Li
0.0000 0.0000 0.0000 La
4.5347 2.6181 4.4985 Zn
4.5347 2.6181 7.1179 Ag
6.8021 3.9272 3.4860 Ag
2.2674 1.3091 5.5110 Ag
4.5347 2.6181 1.8790 Ag


Entry 7:
LiLaZnAg3 | the Alexandria database | PBE | optimized geometry; uncorrected energy = -2.91 eV/atom; space-group type = Cmcm (63)
1.0
-1.2250 0.7893 -5.8748
-4.7258 -4.2230 0.4181
-1.7484 6.8603 1.2863
Li La Zn Ag
2 2 2 6
Cartesian
-6.2369 2.2068 0.0379 Li
-1.4623 1.2198 -4.2084 Li
-3.3310 3.3782 -3.5288 La
-4.3682 0.0484 -0.6417 La
-3.2548 3.6030 -0.3963 Zn
-4.4444 -0.1765 -3.7742 Zn
-1.5318 1.6130 -1.0229 Ag
-1.3297 -1.1882 0.1176 Ag
-4.0086 -2.6401 -2.6370 Ag
-1.9422 -0.7936 -2.8198 Ag
-3.3961 -3.0347 0.3004 Ag
-6.1673 1.8136 -3.1475 Ag


Entry 8:
LiLa2Zn3Ag4 | the Alexandria database | PBE | optimized geometry; uncorrected energy = -2.94 eV/atom; space-group type = P-4m2 (115)
1.0
4.2075 0.0000 0.0000
0.0000 4.2075 0.0000
0.0000 0.0000 12.1705
Li La Zn Ag
1 2 3 4
Cartesian
2.1037 2.1037 6.0853 Li
2.1037 0.0000 2.9387 La
0.0000 2.1037 9.2319 La
0.0000 0.0000 6.0853 Zn
2.1037 0.0000 10.5065 Zn
0.0000 2.1037 1.6641 Zn
2.1037 2.1037 0.0000 Ag
0.0000 0.0000 0.0000 Ag
2.1037 0.0000 7.8134 Ag
0.0000 2.1037 4.3571 Ag


Entry 9:
LiLa2ZnAg | the Alexandria database | PBE | optimized geometry; uncorrected energy = -2.98 eV/atom; space-group type = P4/mmm (123)
1.0
-1.3178 4.5082 3.3544
-4.4922 -1.7545 0.5932
1.7616 -2.9403 4.6437
Zn Li Ag La
1 1 1 2
Cartesian
0.0000 0.0000 0.0000 Zn
-2.0242 -0.0933 4.2957 Li
-2.2461 -0.8772 0.2966 Ag
0.8808 -1.4702 2.3219 La
-0.6589 2.2541 1.6772 La


Entry 10:
Li2LaZn2Ag2 | the Alexandria database | PBE | optimized geometry; uncorrected energy = -2.65 eV/atom; space-group type = C2/m (12)
1.0
4.5948 0.0000 0.0000
-2.2974 3.9643 -0.3399
0.0000 -2.0273 7.9432
Li La Zn Ag
2 1 2 2
Cartesian
0.0000 0.2630 3.2380 Li
2.2974 1.6741 4.3654 Li
0.0000 0.0000 0.0000 La
2.2974 -0.8804 5.6366 Zn
0.0000 2.8174 1.9668 Zn
2.2974 1.4739 1.7792 Ag
0.0000 0.4631 5.8242 Ag


Entry 11:
LiLaZnAg2 | the Alexandria database | PBE | optimized geometry; energy above the most stable polymorph in this dataset = 163 meV/atom; uncorrected energy = -2.83 eV/atom; space-group type = P4/mmm (123)
1.0
4.8002 0.0000 0.0000
0.0000 4.8002 0.0000
0.0000 0.0000 4.6906
Zn Li Ag La
1 1 2 1
Cartesian
0.0000 0.0000 2.3453 Zn
0.0000 0.0000 0.0000 Li
0.0000 2.4001 0.0000 Ag
2.4001 0.0000 0.0000 Ag
2.4001 2.4001 2.3453 La


Entry 12:
LiLa2Zn4Ag3 | the Alexandria database | PBE | optimized geometry; uncorrected energy = -2.78 eV/atom; space-group type = P-4m2 (115)
1.0
4.2023 0.0000 0.0000
0.0000 4.2023 0.0000
0.0000 0.0000 12.0965
Li La Zn Ag
1 2 4 3
Cartesian
2.1012 2.1012 6.0483 Li
2.1012 0.0000 2.9803 La
0.0000 2.1012 9.1162 La
2.1012 2.1012 0.0000 Zn
0.0000 0.0000 0.0000 Zn
2.1012 0.0000 7.7354 Zn
0.0000 2.1012 4.3611 Zn
0.0000 0.0000 6.0483 Ag
2.1012 0.0000 10.4208 Ag
0.0000 2.1012 1.6757 Ag


Entry 13:
LiLaZn2Ag4 | the Alexandria database | PBE | optimized geometry; uncorrected energy = -2.79 eV/atom; space-group type = R-3m (166)
1.0
-3.9342 1.7594 1.5641
-2.5166 -2.3470 3.0295
2.0868 3.5616 7.9619
Li La Zn Ag
1 1 2 4
Cartesian
-2.1820 1.4870 6.2777 Li
0.0000 0.0000 0.0000 La
-3.3648 2.1491 9.2772 Zn
-0.9991 0.8250 3.2783 Zn
-0.9369 2.5912 8.1674 Ag
-4.7802 0.8939 7.1291 Ag
0.4162 2.0801 5.4264 Ag
-3.4271 0.3829 4.3881 Ag


Entry 14:
LiLaZnAg2 | the Alexandria database | PBE | optimized geometry; energy above the most stable polymorph in this dataset = 0 meV/atom; uncorrected energy = -2.99 eV/atom; space-group type = I-4m2 (119)
1.0
-1.4760 -3.4927 -1.6033
3.8398 -1.4117 -0.4594
-1.4319 -0.1411 6.9110
Li La Zn Ag
1 1 1 2
Cartesian
-0.8630 -3.0430 2.1382 Li
0.0000 0.0000 0.0000 La
1.7949 -2.0025 2.7101 Zn
1.1259 -3.0334 0.2864 Ag
-0.1940 -2.0121 4.5619 Ag